Compound: ZrMn2O
Source: Alexandria via LeMat-Bulk
Functional: GGA+U
Structure: optimized geometry

Structure (POSCAR):
```
ZrMn2O
1.0
6.217 0.000 0.000
0.000 6.217 0.000
0.000 0.000 8.137
Zr Mn O
4 8 4
Direct
0.000 0.000 0.000 Zr
0.000 0.500 0.250 Zr
0.500 0.000 0.750 Zr
0.500 0.500 0.500 Zr
0.111 0.250 0.625 Mn
0.250 0.611 0.875 Mn
0.250 0.889 0.375 Mn
0.389 0.250 0.125 Mn
0.611 0.750 0.125 Mn
0.750 0.111 0.375 Mn
0.750 0.389 0.875 Mn
0.889 0.750 0.625 Mn
0.000 0.000 0.500 O
0.000 0.500 0.750 O
0.500 0.000 0.250 O
0.500 0.500 0.000 O
```

Total magnetic moment   1.746 μB per atom
Space-group type   No. 122
Final energy   -7.22 eV per atom